Sr2Sn3GePd4 | the Alexandria database | PBE | optimized geometry; ρ = 7.42 g/cm³; space-group type = P-4m2; E = -4.76 eV per atom; ΔE_f = -0.69 eV/atom
1.0
4.608 0.000 0.000
0.000 4.608 0.000
0.000 0.000 10.856
Sr Sn Ge Pd
2 3 1 4
Direct
0.500 0.000 0.254 Sr
0.000 0.500 0.746 Sr
0.000 0.000 0.500 Sn
0.500 0.000 0.874 Sn
0.000 0.500 0.126 Sn
0.500 0.500 0.500 Ge
0.500 0.500 0.000 Pd
0.000 0.000 0.000 Pd
0.500 0.000 0.625 Pd
0.000 0.500 0.375 Pd